1.
Computed, not measured: crystalline Li2SbHPb at its relaxed geometry at the PBE-GGA level of DFT.

Geometry as POSCAR:
```
Li2SbHPb
1.0
4.600 0.000 0.000
0.000 4.600 0.000
0.000 0.000 4.486
H Pb Sb Li
1 1 1 2
Direct
0.000 0.000 0.000 H
0.500 0.500 0.500 Pb
0.000 0.000 0.500 Sb
0.000 0.500 0.000 Li
0.500 0.000 0.000 Li
```

Calculated values
- E above lowest polymorph (meV per atom) = 58

---

2.
Computed, not measured: crystalline Li2ScHPb at its relaxed geometry at the PBE-GGA level of DFT.

Geometry as POSCAR:
```
Li2ScHPb
1.0
4.237 0.000 0.000
0.000 4.237 0.000
0.000 0.000 4.497
H Li Sc Pb
1 2 1 1
Direct
0.000 0.000 0.000 H
0.500 0.000 0.000 Li
0.000 0.500 0.000 Li
0.000 0.000 0.500 Sc
0.500 0.500 0.500 Pb
```

---

3.
Computed, not measured: crystalline SrLi2HPb at its relaxed geometry at the PBE-GGA level of DFT.

Geometry as POSCAR:
```
SrLi2HPb
1.0
-1.796 3.533 2.625
-1.050 -3.097 3.450
4.362 0.738 1.990
H Li Pb Sr
1 2 1 1
Direct
0.000 0.000 0.000 H
0.500 0.000 0.000 Li
0.000 0.500 0.000 Li
0.500 0.500 0.500 Pb
0.000 0.000 0.500 Sr
```

Calculated values
- E above lowest polymorph (meV per atom) = 0

---

4.
Computed, not measured: crystalline SrLi2HPb at its relaxed geometry at the PBE-GGA level of DFT.

Geometry as POSCAR:
```
SrLi2HPb
1.0
4.849 0.000 0.000
0.000 4.909 0.000
0.000 0.000 4.849
Pb Li H Sr
1 2 1 1
Direct
0.000 0.500 0.000 Pb
0.000 0.000 0.500 Li
0.500 0.000 0.000 Li
0.000 0.000 0.000 H
0.500 0.500 0.500 Sr
```

Calculated values
- E above lowest polymorph (meV per atom) = 286

---

5.
Computed, not measured: crystalline LiTi2HPb at its relaxed geometry at the PBE-GGA level of DFT.

Geometry as POSCAR:
```
LiTi2HPb
1.0
4.021 0.000 0.000
0.000 4.021 0.000
0.000 0.000 4.473
Ti H Pb Li
2 1 1 1
Direct
0.000 0.500 0.000 Ti
0.500 0.000 0.000 Ti
0.000 0.000 0.000 H
0.500 0.500 0.500 Pb
0.000 0.000 0.500 Li
```

---

6.
Computed, not measured: crystalline Li2TiHPb at its relaxed geometry at the PBE-GGA level of DFT.

Geometry as POSCAR:
```
Li2TiHPb
1.0
-1.416 -2.425 3.010
3.223 -2.511 -0.508
2.216 2.264 2.866
Li H Ti Pb
2 1 1 1
Direct
0.500 0.000 0.000 Li
0.000 0.500 0.000 Li
0.000 0.000 0.000 H
0.000 0.000 0.500 Ti
0.500 0.500 0.500 Pb
```

---

7.
Computed, not measured: crystalline Li2TlHPb at its relaxed geometry at the PBE-GGA level of DFT.

Geometry as POSCAR:
```
Li2TlHPb
1.0
-2.401 -0.208 -3.686
1.063 -4.250 -0.452
-4.011 -1.289 2.686
Pb Tl Li H
1 1 2 1
Direct
0.500 0.500 0.500 Pb
0.000 0.000 0.500 Tl
0.500 0.000 0.000 Li
0.000 0.500 0.000 Li
0.000 0.000 0.000 H
```

Calculated values
- E above lowest polymorph (meV per atom) = 0

---

8.
Computed, not measured: crystalline Li2TlHPb at its relaxed geometry at the PBE-GGA level of DFT.

Geometry as POSCAR:
```
Li2TlHPb
1.0
-4.236 -1.736 -0.042
0.601 -1.567 4.260
-1.625 3.923 1.672
Pb Li Tl H
1 2 1 1
Direct
0.000 0.000 0.500 Pb
0.000 0.500 0.000 Li
0.500 0.000 0.000 Li
0.500 0.500 0.500 Tl
0.000 0.000 0.000 H
```

Calculated values
- E above lowest polymorph (meV per atom) = 17

---

no.,DFT total energy (eV per cell),density of states at the Fermi level (states/eV/atom),magnetization (μB per formula unit)
1,-15.85,0.104,0.00
2,-19.26,0.319,0.00
3,-14.10,0.552,0.00
4,-12.67,0.429,0.80
5,-25.82,0.711,0.00
6,-19.90,0.376,0.90
7,-13.69,0.234,0.00
8,-13.60,0.112,0.00